VASP calculation (PBE) on crystalline Ba2YAu at its relaxed geometry.

Values from the calculation:
- ρ: 6.37 g/cm3
- Energy of formation: 0.059 eV/atom
- Crystal system: tetragonal

Unit cell a=6.9165 b=6.9165 c=6.9165 alpha=138.06 beta=138.06 gamma=60.82
Last column: nearest neighbours and their distance in Å.
Sites, in units of the cell vectors:
Au  0.7500  0.2500  0.5000  8 Ba 3.50-3.88, 4 Y 3.88
Ba  0.0000  0.0000  0.0000  4 Y 3.50, 4 Ba 3.88, 4 Au 3.88
Ba  0.2500  0.7500  0.5000  4 Au 3.50, 4 Y 3.88, 4 Ba 3.88
Y  0.5000  0.5000  0.0000  8 Ba 3.50-3.88, 4 Au 3.88

=====

VASP calculation (PBE) on crystalline Ba2YAu at its relaxed geometry.

Values from the calculation:
- ρ: 6.67 g/cm3
- Energy of formation: 0.035 eV/atom
- Crystal system: orthorhombic

Unit cell a=4.4610 b=5.5141 c=5.6699 alpha=90.00 beta=90.00 gamma=90.00
Last column: nearest neighbours and their distance in Å.
Sites, in units of the cell vectors:
Au  0.0000  0.5000  0.5000  4 Y 3.55, 8 Ba 3.61-3.95
Ba  0.0000  0.0000  0.0000  4 Ba 3.55, 4 Y 3.61, 4 Au 3.95
Ba  0.5000  0.5000  0.0000  4 Ba 3.55, 4 Au 3.61, 4 Y 3.95
Y  0.5000  0.0000  0.5000  4 Au 3.55, 8 Ba 3.61-3.95

=====

VASP calculation (PBE) on crystalline BaY4Au5 at its relaxed geometry.

Values from the calculation:
- ρ: 9.82 g/cm3
- Energy of formation: -0.807 eV/atom
- Crystal system: tetragonal

Unit cell a=3.6588 b=3.6588 c=18.6666 alpha=90.00 beta=90.00 gamma=90.00
Last column: nearest neighbours and their distance in Å.
Sites, in units of the cell vectors:
Ba  0.0000  0.0000  0.0000  8 Au 3.52, 4 Ba 3.66, 2 Y 3.94
Y  0.0000  0.0000  0.2111  8 Au 3.02-3.17
Y  0.0000  0.0000  0.4042  8 Au 3.14
Y  0.0000  0.0000  0.5958  8 Au 3.14
Y  0.0000  0.0000  0.7889  8 Au 3.02-3.17
Au  0.5000  0.5000  0.1280  4 Y 3.02, 1 Au 3.37
Au  0.5000  0.5000  0.3088  8 Y 3.14-3.17, 1 Au 3.37
Au  0.5000  0.5000  0.5000  8 Y 3.14
Au  0.5000  0.5000  0.6912  8 Y 3.14-3.17, 1 Au 3.37
Au  0.5000  0.5000  0.8720  4 Y 3.02, 1 Au 3.37

=====

VASP calculation (PBE) on crystalline Ba2Y2Au at its relaxed geometry.

Values from the calculation:
- ρ: 5.62 g/cm3
- Energy of formation: -0.056 eV/atom
- Crystal system: tetragonal

Unit cell a=7.7614 b=7.7614 c=6.3673 alpha=90.00 beta=90.00 gamma=90.00
Last column: nearest neighbours and their distance in Å.
Sites, in units of the cell vectors:
Y  0.3424  0.8424  0.0000  2 Au 2.93
Y  0.8424  0.6576  0.0000  2 Au 2.93
Y  0.6576  0.1576  0.0000  2 Au 2.93
Y  0.1576  0.3424  0.0000  2 Au 2.93
Au  0.0000  0.0000  0.0000  4 Y 2.93
Au  0.5000  0.5000  0.0000  4 Y 2.93
Ba  0.1754  0.6754  0.5000  6 Y 3.67-4.10, 5 Ba 3.85-4.05
Ba  0.6754  0.8246  0.5000  6 Y 3.67-4.10, 5 Ba 3.85-4.05
Ba  0.8246  0.3246  0.5000  6 Y 3.67-4.10, 5 Ba 3.85-4.05
Ba  0.3246  0.1754  0.5000  6 Y 3.67-4.10, 5 Ba 3.85-4.05

=====

VASP calculation (PBE) on crystalline Ba4YAu at its relaxed geometry.

Values from the calculation:
- ρ: 4.96 g/cm3
- Energy of formation: 0.528 eV/atom
- Crystal system: cubic

Unit cell a=7.3380 b=7.3380 c=7.3380 alpha=60.00 beta=60.00 gamma=60.00
Last column: nearest neighbours and their distance in Å.
Sites, in units of the cell vectors:
Ba  0.8759  0.3747  0.3747  6 Ba 3.66-3.68
Ba  0.3747  0.3747  0.8759  6 Ba 3.66-3.68
Ba  0.3747  0.8759  0.3747  6 Ba 3.66-3.68
Ba  0.3747  0.3747  0.3747  6 Ba 3.66-3.68
Y  0.7500  0.7500  0.7500  12 Ba 4.30, 4 Au 4.49
Au  0.0000  0.0000  0.0000  12 Ba 4.30, 4 Y 4.49

=====

VASP calculation (PBE) on crystalline BaYAu at its relaxed geometry.

Values from the calculation:
- ρ: 6.94 g/cm3
- Energy of formation: -0.465 eV/atom
- Crystal system: tetragonal

Unit cell a=7.4283 b=7.4282 c=3.8267 alpha=75.08 beta=75.07 gamma=29.85
Last column: nearest neighbours and their distance in Å.
Sites, in units of the cell vectors:
Au  0.0271  0.0271  0.9729  4 Y 2.99
Ba  0.3535  0.3535  0.6465  4 Au 3.62, 1 Y 3.68, 4 Ba 3.83
Y  0.6195  0.6195  0.3805  4 Au 2.99

=====

Which value of ρ does entry 6 give? 6.94 g/cm3

=====

Among the records above, which one has the lowest energy of formation? BaY4Au5

=====

Among the records above, which one has the highest energy of formation? Ba4YAu

=====

Please write out number 4 again, unchanged.
VASP calculation (PBE) on crystalline Ba2Y2Au at its relaxed geometry.

Values from the calculation:
- ρ: 5.62 g/cm3
- Energy of formation: -0.056 eV/atom
- Crystal system: tetragonal

Unit cell a=7.7614 b=7.7614 c=6.3673 alpha=90.00 beta=90.00 gamma=90.00
Last column: nearest neighbours and their distance in Å.
Sites, in units of the cell vectors:
Y  0.3424  0.8424  0.0000  2 Au 2.93
Y  0.8424  0.6576  0.0000  2 Au 2.93
Y  0.6576  0.1576  0.0000  2 Au 2.93
Y  0.1576  0.3424  0.0000  2 Au 2.93
Au  0.0000  0.0000  0.0000  4 Y 2.93
Au  0.5000  0.5000  0.0000  4 Y 2.93
Ba  0.1754  0.6754  0.5000  6 Y 3.67-4.10, 5 Ba 3.85-4.05
Ba  0.6754  0.8246  0.5000  6 Y 3.67-4.10, 5 Ba 3.85-4.05
Ba  0.8246  0.3246  0.5000  6 Y 3.67-4.10, 5 Ba 3.85-4.05
Ba  0.3246  0.1754  0.5000  6 Y 3.67-4.10, 5 Ba 3.85-4.05